# KAgF2 PBE-GGA relaxed
data_KAgF2
_chemical_formula_sum 'K1 Ag1 F2'
_cell_length_a 7.3005
_cell_length_b 7.3005
_cell_length_c 7.3005
_cell_angle_alpha 28.64
_cell_angle_beta 28.64
_cell_angle_gamma 28.64
_space_group_name_H-M_alt 'P 1'
_space_group_IT_number 1
loop_
_space_group_symop_operation_xyz
'x,y,z'
loop_
_atom_site_label
_atom_site_type_symbol
_atom_site_fract_x
_atom_site_fract_y
_atom_site_fract_z
K1 K 0.0000 0.0000 0.0000
Ag1 Ag 0.5000 0.5000 0.5000
F1 F 0.4024 0.4024 0.4024
F2 F 0.5976 0.5976 0.5976
# * VASP energy: -3.758 eV/atom
# * SG: R-3m (166)
# * distance to the lowest polymorph of the same formula: 0.000 eV/atom

=====

# LuAlFeRe PBE-GGA relaxed
data_LuAlFeRe
_chemical_formula_sum 'Lu1 Al1 Fe1 Re1'
_cell_length_a 4.5409
_cell_length_b 4.5409
_cell_length_c 4.5409
_cell_angle_alpha 60.00
_cell_angle_beta 60.00
_cell_angle_gamma 60.00
_space_group_name_H-M_alt 'P 1'
_space_group_IT_number 1
loop_
_space_group_symop_operation_xyz
'x,y,z'
loop_
_atom_site_label
_atom_site_type_symbol
_atom_site_fract_x
_atom_site_fract_y
_atom_site_fract_z
Lu1 Lu 0.0000 0.0000 0.0000
Al1 Al 0.2500 0.2500 0.2500
Fe1 Fe 0.5000 0.5000 0.5000
Re1 Re 0.7500 0.7500 0.7500
# * VASP energy: -6.998 eV/atom
# * SG: F-43m (216)
# * distance to the lowest polymorph of the same formula: 0.119 eV/atom

=====

# AgBiB2 PBE-GGA relaxed
data_AgBiB2
_chemical_formula_sum 'Ag1 Bi1 B2'
_cell_length_a 4.5855
_cell_length_b 4.5855
_cell_length_c 4.5855
_cell_angle_alpha 60.00
_cell_angle_beta 60.00
_cell_angle_gamma 60.00
_space_group_name_H-M_alt 'P 1'
_space_group_IT_number 1
loop_
_space_group_symop_operation_xyz
'x,y,z'
loop_
_atom_site_label
_atom_site_type_symbol
_atom_site_fract_x
_atom_site_fract_y
_atom_site_fract_z
Ag1 Ag 0.0000 0.0000 0.0000
Bi1 Bi 0.7500 0.7500 0.7500
B1 B 0.2500 0.2500 0.2500
B2 B 0.5000 0.5000 0.5000
# * VASP energy: -3.289 eV/atom
# * SG: F-43m (216)